(1)
The following is a PBE calculation of a relaxed structure of Pr2GaRuC, from Alexandria.

a = 6.5258 Å, b = 4.2335 Å, c = 8.7194 Å
α = 90.00°, β = 110.18°, γ = 90.00°
Sites, in units of the cell vectors:
Pr 0.2185 0.2500 0.3812
Pr 0.2228 0.2500 0.9709
Pr 0.7772 0.7500 0.0291
Pr 0.7815 0.7500 0.6188
Ga 0.3012 0.7500 0.6986
Ga 0.6988 0.2500 0.3014
Ru 0.4963 0.7500 0.2580
Ru 0.5037 0.2500 0.7420
C 0.1899 0.7500 0.1714
C 0.8101 0.2500 0.8286

Values from the calculation:
- Energy of formation from the pure elements: -0.27 eV per atom
- Calculated total energy: -6.48 eV per atom
- Size of the total moment: 0.0 μB per formula unit
- ρ: 6.8 g/cm3
- SG: No. 11


(2)
The following is a PBE calculation of a relaxed structure of PrGaRu2C, from Alexandria.

a = 5.9305 Å, b = 5.9305 Å, c = 7.3586 Å
α = 90.00°, β = 90.00°, γ = 139.71°
Sites, in units of the cell vectors:
Pr 0.0499 0.9501 0.7500
Pr 0.9501 0.0499 0.2500
Ga 0.2278 0.7722 0.2500
Ga 0.7722 0.2278 0.7500
Ru 0.3361 0.6639 0.5587
Ru 0.3361 0.6639 0.9413
Ru 0.6639 0.3361 0.0587
Ru 0.6639 0.3361 0.4413
C 0.5000 0.5000 0.0000
C 0.5000 0.5000 0.5000

Values from the calculation:
- Energy of formation from the pure elements: -0.35 eV per atom
- Calculated total energy: -7.47 eV per atom
- Size of the total moment: 0.0 μB per formula unit
- ρ: 8.4 g/cm3
- SG: No. 63


(3)
The following is a PBE calculation of a relaxed structure of PrGa2Tc2C, from Alexandria.

a = 4.1780 Å, b = 4.1780 Å, c = 5.6541 Å
α = 90.00°, β = 90.00°, γ = 90.00°
Sites, in units of the cell vectors:
Pr 0.0000 0.0000 0.0000
Ga 0.5000 0.5000 0.2233
Ga 0.5000 0.5000 0.7767
Tc 0.0000 0.5000 0.5000
Tc 0.5000 0.0000 0.5000
C 0.0000 0.0000 0.5000

Values from the calculation:
- Energy of formation from the pure elements: -0.39 eV per atom
- Calculated total energy: -7.19 eV per atom
- Size of the total moment: 0.0 μB per formula unit
- ρ: 8.2 g/cm3
- SG: No. 123


(4)
The following is a PBE calculation of a relaxed structure of Pr2Ga2Tc2C, from Alexandria.

a = 5.9348 Å, b = 5.9348 Å, c = 7.5384 Å
α = 122.71°, β = 122.71°, γ = 38.21°
Sites, in units of the cell vectors:
Pr 0.0726 0.0726 0.2940
Pr 0.9274 0.9274 0.7060
Ga 0.3613 0.3613 0.3274
Ga 0.6387 0.6387 0.6726
Tc 0.3024 0.3024 0.9349
Tc 0.6976 0.6976 0.0651
C 0.5000 0.5000 0.0000

Values from the calculation:
- Energy of formation from the pure elements: -0.42 eV per atom
- Calculated total energy: -6.93 eV per atom
- Size of the total moment: 0.0 μB per formula unit
- ρ: 7.8 g/cm3
- SG: No. 12


(5)
The following is a PBE calculation of a relaxed structure of Ga2PtC, from Alexandria.

a = 6.0795 Å, b = 6.0795 Å, c = 6.0795 Å
α = 128.22°, β = 128.22°, γ = 76.27°
Sites, in units of the cell vectors:
Ga 0.0428 0.6250 0.9178
Ga 0.3750 0.2928 0.4178
Ga 0.7072 0.1250 0.0822
Ga 0.8750 0.9572 0.5822
Pt 0.2500 0.7500 0.5000
Pt 0.5000 0.5000 0.0000
C 0.0000 0.0000 0.0000
C 0.7500 0.2500 0.5000

Values from the calculation:
- Energy of formation from the pure elements: 0.29 eV per atom
- Calculated total energy: -5.04 eV per atom
- Size of the total moment: 0.0 μB per formula unit
- ρ: 8.5 g/cm3
- SG: No. 122


(6)
The following is a PBE calculation of a relaxed structure of GaPt2C, from Alexandria.

a = 6.2241 Å, b = 6.2241 Å, c = 6.2241 Å
α = 130.25°, β = 130.25°, γ = 73.01°
Sites, in units of the cell vectors:
Ga 0.0000 0.0000 0.0000
Ga 0.7500 0.2500 0.5000
Pt 0.2101 0.6250 0.0851
Pt 0.3750 0.4601 0.5851
Pt 0.5399 0.1250 0.9149
Pt 0.8750 0.7899 0.4149
C 0.2500 0.7500 0.5000
C 0.5000 0.5000 0.0000

Values from the calculation:
- Energy of formation from the pure elements: 0.21 eV per atom
- Calculated total energy: -5.87 eV per atom
- Size of the total moment: 0.0 μB per formula unit
- ΔE to the lowest computed polymorph: 0 meV per atom
- ρ: 11.4 g/cm3
- SG: No. 122


(7)
The following is a PBE calculation of a relaxed structure of Ga3PtC, from Alexandria.

a = 4.2253 Å, b = 4.2253 Å, c = 4.2253 Å
α = 90.00°, β = 90.00°, γ = 90.00°
Sites, in units of the cell vectors:
Ga 0.0000 0.0000 0.5000
Ga 0.0000 0.5000 0.0000
Ga 0.5000 0.0000 0.0000
Pt 0.5000 0.5000 0.5000
C 0.0000 0.0000 0.0000

Values from the calculation:
- Energy of formation from the pure elements: 0.51 eV per atom
- Calculated total energy: -4.36 eV per atom
- Size of the total moment: 0.0 μB per formula unit
- ΔE to the lowest computed polymorph: 0 meV per atom
- ρ: 9.2 g/cm3
- SG: No. 221


(8)
The following is a PBE calculation of a relaxed structure of Ga3PtC, from Alexandria.

a = 4.8226 Å, b = 4.8226 Å, c = 4.8226 Å
α = 90.00°, β = 90.00°, γ = 90.00°
Sites, in units of the cell vectors:
Ga 0.0000 0.0000 0.5000
Ga 0.0000 0.5000 0.0000
Ga 0.5000 0.0000 0.0000
Pt 0.0000 0.0000 0.0000
C 0.5000 0.5000 0.5000

Values from the calculation:
- Energy of formation from the pure elements: 0.97 eV per atom
- Calculated total energy: -3.90 eV per atom
- Size of the total moment: 2.8 μB per formula unit
- ΔE to the lowest computed polymorph: 461 meV per atom
- ρ: 6.2 g/cm3
- SG: No. 221


(9)
The following is a PBE calculation of a relaxed structure of GaPtC3, from Alexandria.

a = 3.9317 Å, b = 3.9317 Å, c = 3.9317 Å
α = 90.00°, β = 90.00°, γ = 90.00°
Sites, in units of the cell vectors:
Ga 0.0000 0.0000 0.0000
Pt 0.5000 0.5000 0.5000
C 0.0000 0.0000 0.5000
C 0.0000 0.5000 0.0000
C 0.5000 0.0000 0.0000

Values from the calculation:
- Energy of formation from the pure elements: 2.77 eV per atom
- Calculated total energy: -4.58 eV per atom
- Size of the total moment: 0.0 μB per formula unit
- ΔE to the lowest computed polymorph: 387 meV per atom
- ρ: 8.2 g/cm3
- SG: No. 221


(10)
The following is a PBE calculation of a relaxed structure of GaPtC3, from Alexandria.

a = 4.0637 Å, b = 4.0637 Å, c = 4.0637 Å
α = 90.00°, β = 90.00°, γ = 90.00°
Sites, in units of the cell vectors:
Ga 0.0000 0.0000 0.0000
Pt 0.5000 0.5000 0.5000
C 0.0000 0.5000 0.5000
C 0.5000 0.0000 0.5000
C 0.5000 0.5000 0.0000

Values from the calculation:
- Energy of formation from the pure elements: 2.39 eV per atom
- Calculated total energy: -4.96 eV per atom
- Size of the total moment: 0.0 μB per formula unit
- ΔE to the lowest computed polymorph: 0 meV per atom
- ρ: 7.4 g/cm3
- SG: No. 221


(11)
The following is a PBE calculation of a relaxed structure of GaPt2C, from Alexandria.

a = 4.2516 Å, b = 4.2516 Å, c = 4.2516 Å
α = 60.00°, β = 60.00°, γ = 60.00°
Sites, in units of the cell vectors:
Ga 0.0000 0.0000 0.0000
Pt 0.2500 0.2500 0.2500
Pt 0.7500 0.7500 0.7500
C 0.5000 0.5000 0.5000

Values from the calculation:
- Energy of formation from the pure elements: 0.90 eV per atom
- Calculated total energy: -5.18 eV per atom
- Size of the total moment: 0.0 μB per formula unit
- ΔE to the lowest computed polymorph: 688 meV per atom
- ρ: 14.4 g/cm3
- SG: No. 225


(12)
The following is a PBE calculation of a relaxed structure of GaPtC2, from Alexandria.

a = 5.7039 Å, b = 5.7039 Å, c = 5.7039 Å
α = 130.54°, β = 130.54°, γ = 72.54°
Sites, in units of the cell vectors:
Ga 0.0000 0.0000 0.0000
Ga 0.7500 0.2500 0.5000
Pt 0.2500 0.7500 0.5000
Pt 0.5000 0.5000 0.0000
C 0.1315 0.6250 0.0065
C 0.3750 0.3815 0.5065
C 0.6185 0.1250 0.9935
C 0.8750 0.8685 0.4935

Values from the calculation:
- Energy of formation from the pure elements: 0.93 eV per atom
- Calculated total energy: -5.95 eV per atom
- Size of the total moment: 0.0 μB per formula unit
- ρ: 9.2 g/cm3
- SG: No. 122


(13)
The following is a PBE calculation of a relaxed structure of Ga2PtRhC, from Alexandria.

a = 4.6850 Å, b = 4.6850 Å, c = 4.9760 Å
α = 90.00°, β = 90.00°, γ = 90.00°
Sites, in units of the cell vectors:
Ga 0.0000 0.5000 0.0000
Ga 0.5000 0.0000 0.0000
Pt 0.0000 0.0000 0.5000
Rh 0.0000 0.0000 0.0000
C 0.5000 0.5000 0.5000

Values from the calculation:
- Energy of formation from the pure elements: 1.56 eV per atom
- Calculated total energy: -4.18 eV per atom
- Size of the total moment: 2.2 μB per formula unit
- ρ: 6.8 g/cm3
- SG: No. 123